The following is a DFT calculation (GGA-PBE) of an optimized crystal structure of Ac6CuNi2I3.

```
Ac6CuNi2I3
1.0
3.824 -6.620 0.000
3.824 6.620 0.000
-2.552 0.000 8.567
Ac Cu Ni I
6 1 2 3
Direct
0.094 0.438 0.816
0.217 0.217 0.184
0.438 0.094 0.816
0.562 0.906 0.184
0.783 0.783 0.816
0.906 0.562 0.184
0.500 0.500 0.000
0.167 0.833 0.000
0.833 0.167 0.000
0.000 0.000 0.500
0.335 0.665 0.500
0.665 0.335 0.500
```

Values from the calculation:
Total energy ... -4.4057 eV per atom
Symmetry ... C2/m, No. 12

=====

The following is a DFT calculation (GGA-PBE) of an optimized crystal structure of Ac4CuNiI2.

```
Ac4CuNiI2
1.0
7.598 0.000 0.000
0.000 4.485 0.000
-2.583 0.000 8.518
Ac Cu Ni I
4 1 1 2
Direct
0.224 0.000 0.186
0.257 0.500 0.813
0.743 0.500 0.187
0.776 0.000 0.814
0.500 0.000 0.000
0.000 0.500 0.000
0.000 0.000 0.500
0.500 0.500 0.500
```

Values from the calculation:
Total energy ... -4.3029 eV per atom
Symmetry ... P2/m, No. 10